Density functional theory data (GGA-PBE) for CaNd11 after structural relaxation.

- formation energy from the elements (eV/f.u.) = 0.44
- M_tot (μB/cell) = 0.00
- electronic total energy (eV/atom) = -4.500

a b c (Å): 3.627 11.700 11.700
angles (deg): 120.00 90.00 90.00
Fractional positions:
1 Ca 0.000 0.000 0.000
2 Nd 0.000 0.500 0.000
3 Nd 0.000 0.000 0.500
4 Nd 0.000 0.500 0.500
5 Nd 0.500 0.176 0.353
6 Nd 0.500 0.353 0.176
7 Nd 0.500 0.824 0.176
8 Nd 0.500 0.176 0.824
9 Nd 0.500 0.647 0.824
10 Nd 0.500 0.824 0.647
11 Nd 0.000 0.667 0.333
12 Nd 0.000 0.333 0.667